First-principles (PBE) data for a geometry-optimized Rb3Br3N2 structure, as listed in Alexandria via LeMat-Bulk.

a b c (Å): 4.663 15.566 9.915
angles (deg): 90.00 90.00 98.62
Fractional coordinates of all 16 atoms:
1 N 0.036 0.073 0.194
2 N 0.964 0.927 0.694
3 N 0.036 0.073 0.306
4 N 0.964 0.927 0.806
5 Rb 0.241 0.482 0.750
6 Rb 0.892 0.783 0.047
7 Rb 0.759 0.518 0.250
8 Rb 0.108 0.217 0.547
9 Rb 0.892 0.783 0.453
10 Rb 0.108 0.217 0.953
11 Br 0.561 0.123 0.750
12 Br 0.313 0.627 0.021
13 Br 0.439 0.877 0.250
14 Br 0.687 0.373 0.521
15 Br 0.687 0.373 0.979
16 Br 0.313 0.627 0.479

Properties
As for the uncorrected formation energy: -1.194 eV/atom. As for the magnetic moment: 0.0 μB/cell.

First-principles (PBE) data for a geometry-optimized Rb3Br3N structure, as listed in Alexandria via LeMat-Bulk.

a b c (Å): 8.708 8.708 9.361
angles (deg): 99.36 99.36 112.88
Fractional coordinates of all 14 atoms:
1 N 0.440 0.440 0.985
2 N 0.560 0.560 0.015
3 Br 0.847 0.153 0.000
4 Br 0.829 0.171 0.500
5 Br 0.613 0.613 0.378
6 Br 0.387 0.387 0.622
7 Br 0.153 0.847 0.000
8 Br 0.171 0.829 0.500
9 Rb 0.886 0.886 0.229
10 Rb 0.145 0.453 0.317
11 Rb 0.453 0.145 0.317
12 Rb 0.547 0.855 0.683
13 Rb 0.114 0.114 0.771
14 Rb 0.855 0.547 0.683

Properties
As for the uncorrected formation energy: -1.385 eV/atom. As for the magnetic moment: 0.0 μB/cell.

First-principles (PBE) data for a geometry-optimized Rb4Br2N structure, as listed in Alexandria via LeMat-Bulk.

a b c (Å): 5.525 5.525 9.873
angles (deg): 73.75 73.75 90.00
Fractional coordinates of all 7 atoms:
1 N 0.000 0.000 0.000
2 Br 0.357 0.357 0.286
3 Br 0.643 0.643 0.714
4 Rb 0.838 0.838 0.324
5 Rb 0.162 0.162 0.676
6 Rb 0.500 0.000 0.000
7 Rb 0.000 0.500 0.000

Properties
As for the uncorrected formation energy: -0.692 eV/atom. As for the magnetic moment: 1.0 μB/cell.

First-principles (PBE) data for a geometry-optimized Rb4BrN12 structure, as listed in Alexandria via LeMat-Bulk.

a b c (Å): 8.169 8.169 8.169
angles (deg): 109.47 109.47 109.47
Fractional coordinates of all 17 atoms:
1 N 0.713 0.152 0.561
2 N 0.561 0.409 0.848
3 N 0.561 0.713 0.152
4 N 0.848 0.439 0.287
5 N 0.152 0.439 0.591
6 N 0.591 0.152 0.439
7 N 0.152 0.561 0.713
8 N 0.287 0.848 0.439
9 N 0.439 0.591 0.152
10 N 0.848 0.561 0.409
11 N 0.409 0.848 0.561
12 N 0.439 0.287 0.848
13 Rb 0.000 0.000 0.500
14 Rb 0.500 0.000 0.000
15 Rb 0.500 0.500 0.500
16 Rb 0.000 0.500 0.000
17 Br 0.000 0.000 0.000

Properties
As for the uncorrected formation energy: -0.227 eV/atom. As for the magnetic moment: 3.1 μB/cell.

First-principles (PBE) data for a geometry-optimized RbBrN structure, as listed in Alexandria via LeMat-Bulk.

a b c (Å): 4.984 8.942 6.850
angles (deg): 131.58 111.33 90.01
Fractional coordinates of all 6 atoms:
1 Br 0.689 0.617 0.496
2 Br 0.122 0.042 0.362
3 N 0.892 0.377 0.903
4 N 0.919 0.282 0.955
5 Rb 0.403 0.615 0.925
6 Rb 0.408 0.043 0.933

Properties
As for the uncorrected formation energy: -1.073 eV/atom. As for the magnetic moment: 0.0 μB/cell.

First-principles (PBE) data for a geometry-optimized RbBr3N structure, as listed in Alexandria via LeMat-Bulk.

a b c (Å): 6.933 6.933 7.070
angles (deg): 60.64 60.64 90.00
Fractional coordinates of all 10 atoms:
1 Rb 0.250 0.750 0.500
2 Rb 0.750 0.250 0.500
3 Br 0.250 0.750 0.000
4 Br 0.750 0.250 0.000
5 Br 0.250 0.250 0.500
6 Br 0.750 0.750 0.000
7 Br 0.250 0.250 0.000
8 Br 0.750 0.750 0.500
9 N 0.000 0.000 0.000
10 N 0.500 0.500 0.000

Properties
As for the uncorrected formation energy: 0.174 eV/atom. As for the magnetic moment: 0.0 μB/cell.

First-principles (PBE) data for a geometry-optimized RbBr3N structure, as listed in Alexandria via LeMat-Bulk.

a b c (Å): 6.473 6.473 6.473
angles (deg): 90.00 90.00 90.00
Fractional coordinates of all 5 atoms:
1 Br 0.500 0.000 0.000
2 Br 0.000 0.000 0.500
3 Br 0.000 0.500 0.000
4 N 0.500 0.500 0.500
5 Rb 0.000 0.000 0.000

Properties
As for the uncorrected formation energy: 1.453 eV/atom. As for the magnetic moment: 0.0 μB/cell.

First-principles (PBE) data for a geometry-optimized RbS2BrN structure, as listed in Alexandria via LeMat-Bulk.

a b c (Å): 5.112 5.112 4.555
angles (deg): 90.00 90.00 90.00
Fractional coordinates of all 5 atoms:
1 S 0.500 0.000 0.000
2 S 0.000 0.500 0.000
3 N 0.000 0.000 0.500
4 Br 0.000 0.000 0.000
5 Rb 0.500 0.500 0.500

Properties
As for the uncorrected formation energy: 0.995 eV/atom. As for the magnetic moment: 1.9 μB/cell.

First-principles (PBE) data for a geometry-optimized RbS2BrN structure, as listed in Alexandria via LeMat-Bulk.

a b c (Å): 6.500 6.500 5.816
angles (deg): 90.00 90.00 90.00
Fractional coordinates of all 5 atoms:
1 N 0.000 0.000 0.500
2 S 0.500 0.000 0.000
3 S 0.000 0.500 0.000
4 Br 0.500 0.500 0.500
5 Rb 0.000 0.000 0.000

Properties
As for the uncorrected formation energy: 1.626 eV/atom. As for the magnetic moment: 7.0 μB/cell.

First-principles (PBE) data for a geometry-optimized Rb2ScBr6N structure, as listed in Alexandria via LeMat-Bulk.

a b c (Å): 7.107 7.107 7.985
angles (deg): 63.58 63.58 90.00
Fractional coordinates of all 10 atoms:
1 Br 0.213 0.213 0.575
2 Br 0.787 0.787 0.425
3 Br 0.733 0.267 0.000
4 Br 0.267 0.733 0.000
5 Br 0.733 0.733 0.000
6 Br 0.267 0.267 0.000
7 Rb 0.750 0.250 0.500
8 Rb 0.250 0.750 0.500
9 Sc 0.000 0.000 0.000
10 N 0.500 0.500 0.000

Properties
As for the uncorrected formation energy: -0.819 eV/atom. As for the magnetic moment: 0.0 μB/cell.

First-principles (PBE) data for a geometry-optimized RbSeBr2N structure, as listed in Alexandria via LeMat-Bulk.

a b c (Å): 6.678 6.678 7.200
angles (deg): 90.00 90.00 90.00
Fractional coordinates of all 5 atoms:
1 Rb 0.000 0.000 0.000
2 N 0.500 0.500 0.500
3 Se 0.000 0.000 0.500
4 Br 0.500 0.000 0.000
5 Br 0.000 0.500 0.000

Properties
As for the uncorrected formation energy: 1.094 eV/atom. As for the magnetic moment: 6.0 μB/cell.

First-principles (PBE) data for a geometry-optimized RbSeBrN2 structure, as listed in Alexandria via LeMat-Bulk.

a b c (Å): 5.676 5.676 6.720
angles (deg): 90.00 90.00 90.00
Fractional coordinates of all 5 atoms:
1 Br 0.500 0.500 0.500
2 N 0.000 0.500 0.000
3 N 0.500 0.000 0.000
4 Rb 0.000 0.000 0.000
5 Se 0.000 0.000 0.500

Properties
As for the uncorrected formation energy: 2.038 eV/atom. As for the magnetic moment: 8.0 μB/cell.